## SrZnSb2 (GGA-PBE)

Data for a relaxed structure of SrZnSb2.

## Properties
Raw formation energy in meV per atom: -564
Density in g/cm³: 5.8

```
data_SrZnSb2
_chemical_formula_sum 'Sr4 Zn4 Sb8'
_space_group_name_H-M_alt 'P 1'
_space_group_IT_number 1
_space_group_name_Hall 'P 1'
_cell_length_a 4.436
_cell_length_b 4.486
_cell_length_c 22.936
_cell_angle_alpha 90.00
_cell_angle_beta 90.00
_cell_angle_gamma 90.00
loop_
_atom_site_label
_atom_site_fract_x
_atom_site_fract_y
_atom_site_fract_z
Zn1 0.250 0.273 0.750
Zn2 0.250 0.227 0.250
Zn3 0.750 0.727 0.250
Zn4 0.750 0.773 0.750
Sb1 0.750 0.227 0.177
Sb2 0.750 0.782 0.999
Sb3 0.250 0.282 0.501
Sb4 0.750 0.718 0.499
Sb5 0.250 0.218 0.001
Sb6 0.750 0.273 0.677
Sb7 0.250 0.727 0.323
Sb8 0.250 0.773 0.823
Sr1 0.750 0.228 0.383
Sr2 0.750 0.272 0.883
Sr3 0.250 0.772 0.617
Sr4 0.250 0.728 0.117
```